This record from the Alexandria database describes an optimized crystal structure of Sr3PaPd2O9. The functional is PBE.

## Properties
Energy   -6.7600 eV per atom
DOS(E_F)   4.300 states/eV per cell

a = 5.8050 Å, b = 5.8050 Å, c = 7.3954 Å
α = 90.00°, β = 90.00°, γ = 120.00°
With the nearest neighbours (Å) after each atom.
Space group P-3m1 (No. 164)
Unique sites:
Sr  0.0000  0.0000  0.0000 (multiplicity 1)  12 O 2.90-2.92
Sr  0.3333  0.6667  0.7327 (multiplicity 2)  3 O 2.59
Pa  0.0000  0.0000  0.5000 (multiplicity 1)  6 O 2.13
Pd  0.3333  0.6667  0.1659 (multiplicity 2)  6 O 2.03-2.08
O  0.0000  0.5000  0.0000 (multiplicity 3)  2 Pd 2.08
O  0.1671  0.3341  0.3227 (multiplicity 6)  1 Pd 2.03, 1 Pa 2.13



This record from the Alexandria database describes an optimized crystal structure of BeRe4Pb. The functional is PBE.

## Properties
DFT formation energy   920 meV/atom
DOS(E_F)   22.314 states/eV per cell

a = 7.4454 Å, b = 7.4454 Å, c = 7.4454 Å
α = 90.00°, β = 90.00°, γ = 90.00°
With the nearest neighbours (Å) after each atom.
Space group F-43m (No. 216)
Unique sites:
Be  0.0000  0.0000  0.0000 (multiplicity 4)  12 Re 3.09, 4 Pb 3.22
Re  0.1257  0.1257  0.3743 (multiplicity 16)  6 Re 2.62-2.65
Pb  0.2500  0.2500  0.7500 (multiplicity 4)  12 Re 3.09, 4 Be 3.22



This record from the Alexandria database describes an optimized crystal structure of U2AsN. The functional is PBE.

## Properties
Energy   -9.6795 eV per atom
DOS(E_F)   26.192 states/eV per cell

a = 7.4456 Å, b = 5.8045 Å, c = 7.0478 Å
α = 90.00°, β = 97.78°, γ = 90.00°
With the nearest neighbours (Å) after each atom.
Space group P2_1/c (No. 14)
Unique sites:
U  0.0478  0.1043  0.3444 (multiplicity 4)  2 N 2.21-2.35
U  0.3740  0.6413  0.5302 (multiplicity 4)  2 N 2.16-2.32
As  0.3242  0.1540  0.6618 (multiplicity 4)  8 U 2.84-3.15, 1 N 2.96
N  0.2150  0.6840  0.7631 (multiplicity 4)  4 U 2.16-2.35



This record from the Alexandria database describes an optimized crystal structure of ZrNb2TcN. The functional is PBE.

## Properties
Energy   -9.9049 eV per atom
DOS(E_F)   6.732 states/eV per cell

a = 4.2125 Å, b = 4.2125 Å, c = 4.5313 Å
α = 90.00°, β = 90.00°, γ = 90.00°
With the nearest neighbours (Å) after each atom.
Space group P4/mmm (No. 123)
Unique sites:
Zr  0.0000  0.0000  0.0000 (multiplicity 1)  2 N 2.27
Nb  0.0000  0.5000  0.5000 (multiplicity 2)  2 N 2.11
Tc  0.5000  0.5000  0.0000 (multiplicity 1)  4 Zr 2.98, 8 Nb 3.09
N  0.0000  0.0000  0.5000 (multiplicity 1)  4 Nb 2.11, 2 Zr 2.27



This record from the Alexandria database describes an optimized crystal structure of RbZn2NiOs. The functional is PBE.

## Properties
DFT formation energy   1476 meV/atom
DOS(E_F)   11.028 states/eV per cell

a = 4.8968 Å, b = 4.8968 Å, c = 5.5995 Å
α = 90.00°, β = 90.00°, γ = 90.00°
With the nearest neighbours (Å) after each atom.
Space group P4/mmm (No. 123)
Unique sites:
Rb  0.0000  0.0000  0.0000 (multiplicity 1)  2 Os 2.80
Zn  0.0000  0.5000  0.5000 (multiplicity 2)  2 Os 2.45
Ni  0.5000  0.5000  0.0000 (multiplicity 1)  4 Rb 3.46, 8 Zn 3.72
Os  0.0000  0.0000  0.5000 (multiplicity 1)  4 Zn 2.45



This record from the Alexandria database describes an optimized crystal structure of PmHo12Er7. The functional is PBE.

## Properties
DFT formation energy   340 meV/atom
DOS(E_F)   78.063 states/eV per cell

a = 18.4715 Å, b = 18.4715 Å, c = 6.6390 Å
α = 90.00°, β = 90.00°, γ = 120.00°
With the nearest neighbours (Å) after each atom.
Space group R-3 (No. 148, hexagonal axes)
Unique sites:
Pm  0.0000  0.0000  0.0000 (multiplicity 3)  8 Er 3.32-3.42
Ho  0.0005  0.7873  0.7878 (multiplicity 18)  4 Ho 3.20-3.43, 3 Er 3.40-3.50
Ho  0.0075  0.4726  0.2381 (multiplicity 18)  2 Er 3.15-3.26, 5 Ho 3.20-3.43
Er  0.0000  0.0000  0.5000 (multiplicity 3)  6 Er 3.16, 2 Pm 3.32
Er  0.0104  0.8520  0.2880 (multiplicity 18)  5 Ho 3.15-3.50, 1 Er 3.16, 1 Pm 3.42



This record from the Alexandria database describes an optimized crystal structure of Mg3ScIn. The functional is PBE.

## Properties
DFT formation energy   -41 meV/atom
DOS(E_F)   11.615 states/eV per cell

a = 4.8900 Å, b = 31.1464 Å, c = 3.2273 Å
α = 90.00°, β = 90.00°, γ = 90.00°
With the nearest neighbours (Å) after each atom.
Space group Cmmm (No. 65)
Unique sites:
Mg  0.0000  0.0486  0.0000 (multiplicity 4)  7 Mg 3.03-3.23, 2 In 3.19
Mg  0.0000  0.2288  0.5000 (multiplicity 4)  2 Mg 2.78, 1 In 2.86
Mg  0.0000  0.4205  0.5000 (multiplicity 4)  2 In 3.03, 6 Mg 3.08-3.23
Sc  0.0000  0.3241  0.0000 (multiplicity 4)  4 In 3.17, 2 Sc 3.23, 8 Mg 3.36-3.41
In  0.0000  0.1369  0.5000 (multiplicity 4)  5 Mg 2.86-3.19, 4 Sc 3.17



This record from the Alexandria database describes an optimized crystal structure of MgVSi2P. The functional is PBE.

## Properties
Energy   -4.3719 eV per atom
DOS(E_F)   10.288 states/eV per cell

a = 4.5652 Å, b = 4.5652 Å, c = 4.5439 Å
α = 90.00°, β = 90.00°, γ = 90.00°
With the nearest neighbours (Å) after each atom.
Space group P4/mmm (No. 123)
Unique sites:
Mg  0.0000  0.0000  0.0000 (multiplicity 1)  2 P 2.27
V  0.5000  0.5000  0.0000 (multiplicity 1)  8 Si 3.22, 4 Mg 3.23
Si  0.0000  0.5000  0.5000 (multiplicity 2)  2 P 2.28
P  0.0000  0.0000  0.5000 (multiplicity 1)  2 Mg 2.27, 4 Si 2.28



This record from the Alexandria database describes an optimized crystal structure of Pm2Y8Tm3. The functional is PBE.

## Properties
DFT formation energy   241 meV/atom
DOS(E_F)   48.231 states/eV per cell

a = 7.5943 Å, b = 20.6175 Å, c = 5.5888 Å
α = 90.00°, β = 90.00°, γ = 90.00°
With the nearest neighbours (Å) after each atom.
Space group Cmmm (No. 65)
Unique sites:
Pm  0.0000  0.2409  0.0000 (multiplicity 4)  8 Y 3.41-3.60, 2 Pm 3.82
Y  0.0000  0.1305  0.5000 (multiplicity 4)  2 Tm 3.44, 4 Y 3.58, 2 Pm 3.60
Y  0.0000  0.3356  0.5000 (multiplicity 4)  2 Pm 3.41, 4 Y 3.45, 2 Tm 3.77
Y  0.2131  0.3944  0.0000 (multiplicity 8)  1 Tm 3.08, 1 Y 3.24
Tm  0.0000  0.0000  0.0000 (multiplicity 2)  4 Y 3.08
Tm  0.2172  0.5000  0.5000 (multiplicity 4)  3 Tm 3.30-3.52, 6 Y 3.44-3.54



This record from the Alexandria database describes an optimized crystal structure of CsMgZn. The functional is PBE.

## Properties
DFT formation energy   212 meV/atom
DOS(E_F)   22.882 states/eV per cell

a = 9.4606 Å, b = 17.1121 Å, c = 8.9386 Å
α = 90.00°, β = 90.00°, γ = 90.00°
With the nearest neighbours (Å) after each atom.
Space group Ima2 (No. 46)
Unique sites:
Cs  0.2500  0.0017  0.0000 (multiplicity 4)  5 Zn 3.62-3.86
Cs  0.2500  0.1992  0.6785 (multiplicity 4)  5 Zn 3.68-4.04
Cs  0.2500  0.6974  0.1785 (multiplicity 4)  5 Zn 3.66-4.06
Mg  0.0000  0.0000  0.6177 (multiplicity 4)  2 Zn 2.89, 2 Mg 3.06
Mg  0.0036  0.5941  0.8267 (multiplicity 8)  3 Zn 2.96-3.02, 2 Mg 3.06-3.22
Zn  0.0033  0.6600  0.5205 (multiplicity 8)  1 Mg 2.96
Zn  0.2500  0.0016  0.4318 (multiplicity 4)  6 Mg 2.89-3.02



This record from the Alexandria database describes an optimized crystal structure of Pm6Ge2Os. The functional is PBE.

## Properties
DFT formation energy   -363 meV/atom
DOS(E_F)   21.703 states/eV per cell

a = 5.0305 Å, b = 7.1078 Å, c = 14.9325 Å
α = 90.00°, β = 90.00°, γ = 90.00°
With the nearest neighbours (Å) after each atom.
Space group Immm (No. 71)
Unique sites:
Pm  0.0000  0.2381  0.0000 (multiplicity 4)  2 Os 3.03, 2 Ge 3.15, 1 Pm 3.38
Pm  0.0000  0.2553  0.3408 (multiplicity 8)  1 Os 2.95, 3 Ge 3.09-3.11
Ge  0.0000  0.5000  0.1698 (multiplicity 4)  8 Pm 3.09-3.15
Os  0.0000  0.5000  0.5000 (multiplicity 2)  8 Pm 2.95-3.03



This record from the Alexandria database describes an optimized crystal structure of Cd5CuNi. The functional is PBE.

## Properties
DFT formation energy   237 meV/atom
DOS(E_F)   11.928 states/eV per cell

a = 11.1510 Å, b = 7.8649 Å, c = 9.3272 Å
α = 90.00°, β = 116.46°, γ = 90.00°
With the nearest neighbours (Å) after each atom.
Space group C2/c (No. 15)
Unique sites:
Cd  0.0000  0.1072  0.2500 (multiplicity 4)  2 Ni 2.48, 1 Cu 2.70
Cd  0.0068  0.3187  0.5429 (multiplicity 8)  1 Ni 2.53, 1 Cu 2.68
Cd  0.2495  0.0346  0.1099 (multiplicity 8)  1 Ni 2.51, 1 Cu 2.59
Cu  0.0000  0.4505  0.2500 (multiplicity 4)  7 Cd 2.59-2.89
Ni  0.0000  0.0000  0.0000 (multiplicity 4)  6 Cd 2.48-2.53